(1)
! TaMnNi2 | Alexandria via LeMat-Bulk | PBEsol | relaxed; values from VASP
! energy of formation from the pure elements = -200 meV/atom
! final energy = -8.86 eV per atom
! magnetization = 4.48 Bohr magnetons per cell
! space-group type = I4/mmm (139)
&SYSTEM
  ibrav = 0, nat = 8, ntyp = 3
/
ATOMIC_SPECIES
Ta 180.95 Ta.upf
Mn 54.94 Mn.upf
Ni 58.69 Ni.upf
ATOMIC_POSITIONS crystal
Ta 0.000 0.000 0.000
Ta 0.500 0.500 0.500
Mn 0.000 0.000 0.500
Mn 0.500 0.500 0.000
Ni 0.000 0.500 0.250
Ni 0.000 0.500 0.750
Ni 0.500 0.000 0.250
Ni 0.500 0.000 0.750
CELL_PARAMETERS angstrom
3.607 0.000 0.000
0.000 3.607 0.000
0.000 0.000 7.496


(2)
! TaMnNi | Alexandria via LeMat-Bulk | PBEsol | relaxed; values from VASP
! energy of formation from the pure elements = 21 meV/atom
! final energy = -9.47 eV per atom
! magnetization = 6.41 Bohr magnetons per cell
! space-group type = I4mm (107)
&SYSTEM
  ibrav = 0, nat = 6, ntyp = 3
/
ATOMIC_SPECIES
Ta 180.95 Ta.upf
Mn 54.94 Mn.upf
Ni 58.69 Ni.upf
ATOMIC_POSITIONS crystal
Ta 0.000 0.000 0.000
Ta 0.500 0.500 0.500
Mn 0.000 0.000 0.684
Mn 0.500 0.500 0.184
Ni 0.000 0.000 0.322
Ni 0.500 0.500 0.822
CELL_PARAMETERS angstrom
2.835 0.000 0.000
0.000 2.835 0.000
0.000 0.000 10.007


(3)
! TaMnNi2 | Alexandria via LeMat-Bulk | PBEsol | relaxed; values from VASP
! energy of formation from the pure elements = -222 meV/atom
! final energy = -8.88 eV per atom
! magnetization = 1.77 Bohr magnetons per cell
! space-group type = P4/mmm (123)
&SYSTEM
  ibrav = 0, nat = 4, ntyp = 3
/
ATOMIC_SPECIES
Ta 180.95 Ta.upf
Mn 54.94 Mn.upf
Ni 58.69 Ni.upf
ATOMIC_POSITIONS crystal
Ta 0.000 0.000 0.000
Mn 0.500 0.500 0.000
Ni 0.000 0.500 0.500
Ni 0.500 0.000 0.500
CELL_PARAMETERS angstrom
3.601 0.000 0.000
0.000 3.601 0.000
0.000 0.000 3.738


(4)
! TaMnNi2 | Alexandria via LeMat-Bulk | PBEsol | relaxed; values from VASP
! energy of formation from the pure elements = -23 meV/atom
! final energy = -8.68 eV per atom
! magnetization = 0.00 Bohr magnetons per cell
! space-group type = Pm (6)
&SYSTEM
  ibrav = 0, nat = 4, ntyp = 3
/
ATOMIC_SPECIES
Ta 180.95 Ta.upf
Mn 54.94 Mn.upf
Ni 58.69 Ni.upf
ATOMIC_POSITIONS crystal
Ta 0.000 0.000 0.000
Mn 0.874 0.500 0.339
Ni 0.448 0.500 0.793
Ni 0.451 0.000 0.496
CELL_PARAMETERS angstrom
2.590 0.000 0.000
0.000 4.095 0.000
-0.318 0.000 4.569